# MgZrAg3

A relaxed structure of MgZrAg3 (PBE, Alexandria via LeMat-Bulk).

Cell: 4.791 4.791 4.791 Å, 90.00 90.00 90.00°
Positions (direct):
Mg (0.000, 0.000, 0.000)
Zr (0.500, 0.500, 0.500)
Ag (0.000, 0.000, 0.500)
Ag (0.000, 0.500, 0.000)
Ag (0.500, 0.000, 0.000)

Results
Formation energy from the elements   0.62 eV per atom
VASP energy   -3.123 eV per atom
Mass density   6.63 g/cm³
Calculated volume   109.99 Å³/f.u.
Polymorph energy (0 for the lowest one)   0.0 kJ/mol of atoms